[1]
This record from Alexandria describes a geometry-optimized Eu3Ta5O15 structure. The functional is PBE.

For the total magnetization, the calculation gives 21.0 μB per formula unit. As for the total energy: -0.7419 Ry per atom. As for the density of states at the Fermi level: 37.9 states/eV/f.u.

a = 12.5731 Å, b = 12.5731 Å, c = 3.9725 Å
α = 90.00°, β = 90.00°, γ = 90.00°
Site moments in Bohr magnetons follow the coordinates.
Fractional positions:
Eu (0.1599, 0.6599, 0.5000)  6.88
Eu (0.8401, 0.3401, 0.5000)  6.88
Eu (0.6599, 0.8401, 0.5000)  6.88
Eu (0.3401, 0.1599, 0.5000)  6.88
Eu (0.0000, 0.0000, 0.5000)  6.76
Eu (0.5000, 0.5000, 0.5000)  6.76
Ta (0.0817, 0.2091, 0.0000)  0.03
Ta (0.9183, 0.7909, 0.0000)  0.03
Ta (0.2091, 0.9183, 0.0000)  0.03
Ta (0.5817, 0.2909, 0.0000)  0.03
Ta (0.7909, 0.0817, 0.0000)  0.03
Ta (0.4183, 0.7091, 0.0000)  0.03
Ta (0.7091, 0.5817, 0.0000)  0.03
Ta (0.2909, 0.4183, 0.0000)  0.03
Ta (0.5000, 0.0000, 0.0000)  0.04
Ta (0.0000, 0.5000, 0.0000)  0.04
O (0.7318, 0.2318, 0.0000)  -0.01
O (0.2682, 0.7682, 0.0000)  -0.01
O (0.2318, 0.2682, 0.0000)  -0.01
O (0.7682, 0.7318, 0.0000)  -0.01
O (0.3409, 0.0081, 0.0000)  -0.01
O (0.6591, 0.9919, 0.0000)  -0.01
O (0.0081, 0.6591, 0.0000)  -0.01
O (0.8409, 0.4919, 0.0000)  -0.01
O (0.9919, 0.3409, 0.0000)  -0.01
O (0.1591, 0.5081, 0.0000)  -0.01
O (0.5081, 0.8409, 0.0000)  -0.01
O (0.4919, 0.1591, 0.0000)  -0.01
O (0.0827, 0.2050, 0.5000)  0.00
O (0.9173, 0.7950, 0.5000)  0.00
O (0.2050, 0.9173, 0.5000)  0.00
O (0.5827, 0.2950, 0.5000)  0.00
O (0.7950, 0.0827, 0.5000)  0.00
O (0.4173, 0.7050, 0.5000)  0.00
O (0.7050, 0.5827, 0.5000)  0.00
O (0.2950, 0.4173, 0.5000)  0.00
O (0.1355, 0.0612, 0.0000)  -0.01
O (0.8645, 0.9388, 0.0000)  -0.01
O (0.0612, 0.8645, 0.0000)  -0.01
O (0.6355, 0.4388, 0.0000)  -0.01
O (0.9388, 0.1355, 0.0000)  -0.01
O (0.3645, 0.5612, 0.0000)  -0.01
O (0.5612, 0.6355, 0.0000)  -0.01
O (0.4388, 0.3645, 0.0000)  -0.01
O (0.5000, 0.0000, 0.5000)  -0.01
O (0.0000, 0.5000, 0.5000)  -0.01

---

[2]
This record from Alexandria describes a geometry-optimized LiCe2Hg structure. The functional is PBE.

The formation energy is -15 meV/atom. For the total magnetization, the calculation gives 1.7 μB per formula unit. As for the total energy: -0.2599 Ry per atom. For the polymorph energy (0 for the lowest one), the calculation gives 77.7 meV per atom. As for the density of states at the Fermi level: 9.8 states/eV/f.u.

a = 3.9264 Å, b = 3.9264 Å, c = 6.5217 Å
α = 90.00°, β = 90.00°, γ = 90.00°
Site moments in Bohr magnetons follow the coordinates.
Fractional positions:
Hg (0.5000, 0.5000, 0.5000)  0.00
Ce (0.0000, 0.0000, 0.7867)  0.75
Ce (0.0000, 0.0000, 0.2133)  0.75
Li (0.5000, 0.5000, 0.0000)  0.00

---

[3]
This record from Alexandria describes a geometry-optimized Na3Cd2Sn4 structure. The functional is PBE.

The formation energy is -93 meV/atom. For the total magnetization, the calculation gives 0.0 μB per formula unit. As for the total energy: -0.1849 Ry per atom. For the polymorph energy (0 for the lowest one), the calculation gives 25.3 meV per atom. As for the density of states at the Fermi level: 2.8 states/eV/f.u.

a = 5.7668 Å, b = 5.1065 Å, c = 9.5827 Å
α = 74.27°, β = 75.83°, γ = 65.63°
Fractional positions:
Na (0.6912, 0.1068, 0.6104)
Na (0.0000, 0.0000, 0.0000)
Na (0.3088, 0.8932, 0.3896)
Cd (0.6796, 0.2885, 0.2645)
Cd (0.3204, 0.7115, 0.7355)
Sn (0.3374, 0.3087, 0.0644)
Sn (0.0590, 0.3917, 0.6581)
Sn (0.9410, 0.6083, 0.3419)
Sn (0.6626, 0.6913, 0.9356)

---

[4]
This record from Alexandria describes a geometry-optimized Sr2BeAsPd6 structure. The functional is PBE.

The formation energy is -586 meV/atom. For the total magnetization, the calculation gives 0.0 μB per formula unit. As for the total energy: -0.3584 Ry per atom. As for the density of states at the Fermi level: 5.9 states/eV/f.u.

a = 6.2542 Å, b = 6.8639 Å, c = 6.2703 Å
α = 62.43°, β = 60.12°, γ = 89.96°
Fractional positions:
Sr (0.7236, 0.1721, 0.5532)
Sr (0.2764, 0.8279, 0.4468)
Be (0.5000, 0.5000, 0.0000)
As (0.0000, 0.0000, 0.0000)
Pd (0.2600, 0.3282, 0.4805)
Pd (0.7413, 0.6750, 0.0634)
Pd (0.1945, 0.6744, 0.0638)
Pd (0.8055, 0.3256, 0.9362)
Pd (0.2586, 0.3249, 0.9366)
Pd (0.7400, 0.6718, 0.5195)

---

[5]
This record from Alexandria describes a geometry-optimized Y2VSnH structure. The functional is PBE.

For the total magnetization, the calculation gives 1.8 μB per formula unit. As for the total energy: -0.4512 Ry per atom. As for the density of states at the Fermi level: 4.5 states/eV/f.u.

a = 4.7806 Å, b = 4.7806 Å, c = 4.1078 Å
α = 90.00°, β = 90.00°, γ = 90.00°
Site moments in Bohr magnetons follow the coordinates.
Fractional positions:
Y (0.0000, 0.5000, 0.0000)  -0.06
Y (0.5000, 0.0000, 0.0000)  -0.06
H (0.0000, 0.0000, 0.0000)  -0.01
Sn (0.5000, 0.5000, 0.5000)  -0.04
V (0.0000, 0.0000, 0.5000)  1.73